Computed, not measured: Sr2GePt after structural relaxation at the PBE level of DFT.

a b c (Å): 4.5668 5.8523 9.5050
angles (deg): 114.18 90.00 90.00
Element x y z (fractional)
Sr 0.7500 0.2052 0.4277
Sr 0.2500 0.7948 0.5723
Sr 0.2500 0.7816 0.0725
Sr 0.7500 0.2184 0.9275
Ge 0.2500 0.3953 0.2261
Ge 0.7500 0.6047 0.7739
Pt 0.7500 0.5990 0.2740
Pt 0.2500 0.4010 0.7260

Final energy, eV/atom: -4.25
Magnetization, μB per atom: 0.000



Computed, not measured: Sr3Ge9Pt2 after structural relaxation at the PBE level of DFT.

a b c (Å): 4.2786 8.7468 8.7468
angles (deg): 78.64 75.84 75.84
Element x y z (fractional)
Sr 0.0000 0.0000 0.0000
Sr 0.6842 0.3158 0.3158
Sr 0.3158 0.6842 0.6842
Ge 0.0000 0.5000 0.5000
Ge 0.6609 0.9716 0.7067
Ge 0.3392 0.0284 0.2933
Ge 0.6609 0.7067 0.9716
Ge 0.3392 0.2933 0.0284
Ge 0.8732 0.8436 0.4099
Ge 0.1268 0.1564 0.5901
Ge 0.8732 0.4099 0.8436
Ge 0.1268 0.5901 0.1564
Pt 0.5000 0.2761 0.7239
Pt 0.5000 0.7239 0.2761

Final energy, eV/atom: -4.57
Magnetization, μB per atom: 0.000



Computed, not measured: SrGe2Pt2 after structural relaxation at the PBE level of DFT.

a b c (Å): 7.9070 7.9070 3.1424
angles (deg): 90.00 90.00 90.00
Element x y z (fractional)
Sr 0.0000 0.0000 0.0000
Sr 0.5000 0.5000 0.0000
Ge 0.3654 0.8654 0.0000
Ge 0.8654 0.6346 0.0000
Ge 0.6346 0.1346 0.0000
Ge 0.1346 0.3654 0.0000
Pt 0.1427 0.6427 0.5000
Pt 0.6427 0.8573 0.5000
Pt 0.8573 0.3573 0.5000
Pt 0.3573 0.1427 0.5000

Final energy, eV/atom: -4.97
Magnetization, μB per atom: 0.000



Computed, not measured: Sr3Ge2Pt3 after structural relaxation at the PBE level of DFT.

a b c (Å): 6.2567 8.0827 15.3223
angles (deg): 90.00 90.00 90.00
Element x y z (fractional)
Sr 0.1407 0.4842 0.3928
Sr 0.6407 0.0158 0.6072
Sr 0.8593 0.5158 0.8928
Sr 0.3593 0.9842 0.1072
Sr 0.8593 0.5158 0.6072
Sr 0.3593 0.9842 0.3928
Sr 0.1407 0.4842 0.1072
Sr 0.6407 0.0158 0.8928
Sr 0.6007 0.3415 0.2500
Sr 0.1007 0.1585 0.7500
Sr 0.3993 0.6585 0.7500
Sr 0.8993 0.8415 0.2500
Ge 0.8711 0.1445 0.4037
Ge 0.3711 0.3555 0.5963
Ge 0.1289 0.8555 0.9037
Ge 0.6289 0.6445 0.0963
Ge 0.1289 0.8555 0.5963
Ge 0.6289 0.6445 0.4037
Ge 0.8711 0.1445 0.0963
Ge 0.3711 0.3555 0.9037
Pt 0.0575 0.1935 0.2500
Pt 0.5575 0.3065 0.7500
Pt 0.9425 0.8065 0.7500
Pt 0.4425 0.6935 0.2500
Pt 0.6067 0.3488 0.4597
Pt 0.1067 0.1512 0.5403
Pt 0.3933 0.6512 0.9597
Pt 0.8933 0.8488 0.0403
Pt 0.3933 0.6512 0.5403
Pt 0.8933 0.8488 0.4597
Pt 0.6067 0.3488 0.0403
Pt 0.1067 0.1512 0.9597

Final energy, eV/atom: -4.93
Magnetization, μB per atom: 0.000